P | Entry from the Alexandria database: an optimized crystal structure of YTmLu (PBE).

The density is 7.85 g/cm³. The density of states at the Fermi level comes out at 1.382 states/eV/atom. Its crystal system is tetragonal.

It has space group I4mm (No. 107), with a = 3.5019 Å, b = 3.5019 Å, c = 14.9342 Å, α = 90.00°, β = 90.00° and γ = 90.00°. The asymmetric unit holds Y at (0.0000, 0.0000, 0.0000), Tm at (0.0000, 0.0000, 0.3314) and Lu at (0.0000, 0.0000, 0.6679).

Q | Entry from the Alexandria database: an optimized crystal structure of YTmLu (PBE).

The density is 7.82 g/cm³. The density of states at the Fermi level comes out at 2.086 states/eV/atom. Its crystal system is hexagonal.

It has space group P-6m2 (No. 187), with a = 5.5298 Å, b = 5.5298 Å, c = 3.4692 Å, α = 90.00°, β = 90.00° and γ = 120.00°. The asymmetric unit holds Y at (0.0000, 0.0000, 0.0000), Tm at (0.6667, 0.3333, 0.5000) and Lu at (0.3333, 0.6667, 0.5000).

Which of them is the most stable, and which is the least stable? P and Q, in that order.

P | Entry from the Alexandria database: an optimized crystal structure of TmLu2Zn (PBE).

The density is 9.60 g/cm³. The density of states at the Fermi level comes out at 1.168 states/eV/atom. Its crystal system is tetragonal.

It has space group P4/mmm (No. 123), with a = 4.6588 Å, b = 4.6588 Å, c = 4.6584 Å, α = 90.00°, β = 90.00° and γ = 90.00°. The asymmetric unit holds Tm at (0.0000, 0.0000, 0.0000), Lu at (0.0000, 0.5000, 0.5000) and Zn at (0.5000, 0.5000, 0.0000).

Q | Entry from the Alexandria database: an optimized crystal structure of TmLu2Zn (PBE).

The density is 9.43 g/cm³. The density of states at the Fermi level comes out at 1.014 states/eV/atom. Its crystal system is tetragonal.

It has space group P4/mmm (No. 123), with a = 3.4858 Å, b = 3.4858 Å, c = 8.4632 Å, α = 90.00°, β = 90.00° and γ = 90.00°. The asymmetric unit holds Tm at (0.0000, 0.0000, 0.0000), Lu at (0.5000, 0.5000, 0.2939) and Zn at (0.0000, 0.0000, 0.5000).

Which of them is the most stable, and which is the least stable? Q and P, in that order.

P | Entry from the Alexandria database: an optimized crystal structure of TmLuZr2 (PBE).

The density is 8.44 g/cm³. The density of states at the Fermi level comes out at 2.145 states/eV/atom. Its crystal system is cubic.

It has space group Fm-3m (No. 225), with a = 7.4530 Å, b = 7.4530 Å, c = 7.4530 Å, α = 90.00°, β = 90.00° and γ = 90.00°. The asymmetric unit holds Tm at (0.0000, 0.0000, 0.0000), Lu at (0.0000, 0.0000, 0.5000) and Zr at (0.2500, 0.2500, 0.2500).

Q | Entry from the Alexandria database: an optimized crystal structure of TmLuZr2 (PBE).

The density is 8.48 g/cm³. The density of states at the Fermi level comes out at 1.665 states/eV/atom. Its crystal system is tetragonal.

It has space group P4/mmm (No. 123), with a = 3.9099 Å, b = 3.9099 Å, c = 6.7403 Å, α = 90.00°, β = 90.00° and γ = 90.00°. The asymmetric unit holds Tm at (0.0000, 0.0000, 0.0000), Lu at (0.0000, 0.0000, 0.5000) and Zr at (0.5000, 0.5000, 0.2599).

Which of them is the most stable, and which is the least stable? Q and P, in that order.

P | Entry from the Alexandria database: an optimized crystal structure of TmLuZr2 (PBE).

The density is 8.47 g/cm³. The density of states at the Fermi level comes out at 1.329 states/eV/atom. Its crystal system is tetragonal.

It has space group P4/mmm (No. 123), with a = 4.6677 Å, b = 4.6677 Å, c = 4.7350 Å, α = 90.00°, β = 90.00° and γ = 90.00°. The asymmetric unit holds Tm at (0.0000, 0.0000, 0.0000), Lu at (0.5000, 0.5000, 0.0000) and Zr at (0.0000, 0.5000, 0.5000).

Q | Entry from the Alexandria database: an optimized crystal structure of TmLuZr2 (PBE).

The density is 8.29 g/cm³. The density of states at the Fermi level comes out at 1.521 states/eV/atom. Its crystal system is trigonal.

It has space group R-3m (No. 166, hexagonal axes), with a = 3.2489 Å, b = 3.2489 Å, c = 34.5834 Å, α = 90.00°, β = 90.00° and γ = 120.00°. The asymmetric unit holds Tm at (0.0000, 0.0000, 0.0000), Lu at (0.0000, 0.0000, 0.5000) and Zr at (0.0000, 0.0000, 0.4108).

Which of them is the most stable, and which is the least stable? P and Q, in that order.